Below is a relaxed structure of AcTeSe, with properties calculated at the PBE level.

Calculated values
Polymorph energy (0 for the lowest one) ... 0.313 eV/atom
E_form (uncorrected) ... -126 kJ per mole of atoms

a b c (Å): 4.252 4.252 10.527
angles (deg): 90.00 90.00 90.00
Space group I4mm (No. 107)
Asymmetric unit:
1 Ac 0.000 0.000 0.000 (multiplicity 2)
2 Te 0.000 0.000 0.663 (multiplicity 2)
3 Se 0.000 0.000 0.376 (multiplicity 2)

---

Below is a relaxed structure of Ac2TeSe, with properties calculated at the PBE level.

Calculated values
Polymorph energy (0 for the lowest one) ... 0.128 eV/atom
E_form (uncorrected) ... -150 kJ per mole of atoms

a b c (Å): 4.397 8.280 7.744
angles (deg): 90.00 90.00 90.00
Space group Pmmn (No. 59, origin choice 2)
Asymmetric unit:
1 Ac 0.250 0.003 0.230 (multiplicity 4)
2 Te 0.250 0.250 0.579 (multiplicity 2)
3 Se 0.250 0.750 0.917 (multiplicity 2)

---

Below is a relaxed structure of Ac5Te5Se, with properties calculated at the PBE level.

Calculated values
E_form (uncorrected) ... -153 kJ per mole of atoms

a b c (Å): 14.829 6.621 9.314
angles (deg): 90.00 108.50 90.00
Space group C2/m (No. 12)
Asymmetric unit:
1 Ac 0.000 0.000 0.000 (multiplicity 2)
2 Ac 0.159 0.500 0.836 (multiplicity 4)
3 Ac 0.160 0.500 0.325 (multiplicity 4)
4 Te 0.000 0.500 0.500 (multiplicity 2)
5 Te 0.165 0.000 0.827 (multiplicity 4)
6 Te 0.169 0.000 0.336 (multiplicity 4)
7 Se 0.000 0.500 0.000 (multiplicity 2)

---

Below is a relaxed structure of Ac2TeSe3, with properties calculated at the PBE level.

Calculated values
Polymorph energy (0 for the lowest one) ... 0.000 eV/atom
E_form (uncorrected) ... -162 kJ per mole of atoms

a b c (Å): 4.427 4.427 9.119
angles (deg): 90.00 90.00 90.00
Space group P-4m2 (No. 115)
Asymmetric unit:
1 Ac 0.000 0.500 0.215 (multiplicity 2)
2 Te 0.000 0.000 0.500 (multiplicity 1)
3 Se 0.000 0.500 0.865 (multiplicity 2)
4 Se 0.500 0.500 0.500 (multiplicity 1)

---

Below is a relaxed structure of Ac3Te2Se2, with properties calculated at the PBE level.

Calculated values
Polymorph energy (0 for the lowest one) ... 0.000 eV/atom
E_form (uncorrected) ... -168 kJ per mole of atoms

a b c (Å): 15.617 4.692 8.112
angles (deg): 90.00 106.12 90.00
Space group C2/m (No. 12)
Asymmetric unit:
1 Ac 0.000 0.000 0.000 (multiplicity 2)
2 Ac 0.239 0.000 0.734 (multiplicity 4)
3 Te 0.117 0.500 0.862 (multiplicity 4)
4 Se 0.147 0.000 0.346 (multiplicity 4)

---

Below is a relaxed structure of Ac5Te4Se, with properties calculated at the PBE level.

Calculated values
Polymorph energy (0 for the lowest one) ... 0.014 eV/atom
E_form (uncorrected) ... -150 kJ per mole of atoms

a b c (Å): 4.676 4.676 33.246
angles (deg): 90.00 90.00 90.00
Space group I4/mmm (No. 139)
Asymmetric unit:
1 Ac 0.000 0.000 0.000 (multiplicity 2)
2 Ac 0.000 0.000 0.204 (multiplicity 4)
3 Ac 0.000 0.000 0.407 (multiplicity 4)
4 Te 0.000 0.000 0.101 (multiplicity 4)
5 Te 0.000 0.000 0.305 (multiplicity 4)
6 Se 0.000 0.000 0.500 (multiplicity 2)

---

Below is a relaxed structure of Ac2ThTe2Se2, with properties calculated at the PBE level.

Calculated values
E_form (uncorrected) ... -130 kJ per mole of atoms

a b c (Å): 5.529 5.529 16.750
angles (deg): 90.00 90.00 90.00
Space group I4/mmm (No. 139)
Asymmetric unit:
1 Ac 0.000 0.000 0.120 (multiplicity 4)
2 Th 0.000 0.000 0.500 (multiplicity 2)
3 Te 0.000 0.000 0.315 (multiplicity 4)
4 Se 0.000 0.500 0.000 (multiplicity 4)

---

Below is a relaxed structure of Ac4TlTeSe2, with properties calculated at the PBE level.

Calculated values
E_form (uncorrected) ... -133 kJ per mole of atoms

a b c (Å): 8.047 4.563 8.134
angles (deg): 90.00 108.86 90.00
Space group P2/m (No. 10)
Asymmetric unit:
1 Ac 0.236 0.000 0.239 (multiplicity 2)
2 Ac 0.237 0.500 0.747 (multiplicity 2)
3 Tl 0.500 0.000 0.000 (multiplicity 1)
4 Te 0.500 0.500 0.500 (multiplicity 1)
5 Se 0.000 0.000 0.500 (multiplicity 1)
6 Se 0.000 0.500 0.000 (multiplicity 1)

---

Below is a relaxed structure of Ac6Tl3TeSe2, with properties calculated at the PBE level.

Calculated values
E_form (uncorrected) ... -96 kJ per mole of atoms

a b c (Å): 21.135 4.532 9.815
angles (deg): 90.00 109.60 90.00
Space group C2/m (No. 12)
Asymmetric unit:
1 Ac 0.007 0.000 0.252 (multiplicity 4)
2 Ac 0.168 0.500 0.092 (multiplicity 4)
3 Ac 0.171 0.500 0.567 (multiplicity 4)
4 Tl 0.000 0.500 0.500 (multiplicity 2)
5 Tl 0.162 0.000 0.822 (multiplicity 4)
6 Te 0.000 0.500 0.000 (multiplicity 2)
7 Se 0.168 0.000 0.329 (multiplicity 4)

---

Below is a relaxed structure of Ac8TlTe4Se3, with properties calculated at the PBE level.

Calculated values
E_form (uncorrected) ... -145 kJ per mole of atoms

a b c (Å): 16.020 9.248 9.396
angles (deg): 90.00 124.63 90.00
Space group C2/m (No. 12)
Asymmetric unit:
1 Ac 0.007 0.247 0.268 (multiplicity 8)
2 Ac 0.242 0.000 0.727 (multiplicity 4)
3 Ac 0.246 0.500 0.731 (multiplicity 4)
4 Tl 0.000 0.500 0.500 (multiplicity 2)
5 Te 0.000 0.000 0.000 (multiplicity 2)
6 Te 0.000 0.500 0.000 (multiplicity 2)
7 Te 0.250 0.250 0.000 (multiplicity 4)
8 Se 0.000 0.000 0.500 (multiplicity 2)
9 Se 0.250 0.250 0.500 (multiplicity 4)

---

Below is a relaxed structure of AcYTe2Se, with properties calculated at the PBE level.

Calculated values
E_form (uncorrected) ... -144 kJ per mole of atoms

a b c (Å): 4.517 4.517 15.928
angles (deg): 90.00 90.00 90.00
Space group P4/nmm (No. 129, origin choice 2)
Asymmetric unit:
1 Ac 0.250 0.250 0.134 (multiplicity 2)
2 Y 0.250 0.250 0.592 (multiplicity 2)
3 Te 0.250 0.250 0.397 (multiplicity 2)
4 Te 0.250 0.250 0.783 (multiplicity 2)
5 Se 0.250 0.750 0.000 (multiplicity 2)

---

Below is a relaxed structure of AcYTeSe2, with properties calculated at the PBE level.

Calculated values
E_form (uncorrected) ... -141 kJ per mole of atoms

a b c (Å): 4.789 4.789 14.695
angles (deg): 90.00 90.00 90.00
Space group I4mm (No. 107)
Asymmetric unit:
1 Ac 0.000 0.000 0.000 (multiplicity 2)
2 Y 0.000 0.000 0.720 (multiplicity 2)
3 Te 0.000 0.000 0.376 (multiplicity 2)
4 Se 0.000 0.500 0.126 (multiplicity 4)

---

Below is a relaxed structure of Ac6ZnTe3Se2, with properties calculated at the PBE level.

Calculated values
E_form (uncorrected) ... -136 kJ per mole of atoms

a b c (Å): 7.975 13.775 8.167
angles (deg): 90.00 108.89 90.00
Space group C2/m (No. 12)
Asymmetric unit:
1 Ac 0.241 0.165 0.228 (multiplicity 8)
2 Ac 0.247 0.500 0.229 (multiplicity 4)
3 Zn 0.000 0.000 0.000 (multiplicity 2)
4 Te 0.000 0.169 0.500 (multiplicity 4)
5 Te 0.000 0.500 0.500 (multiplicity 2)
6 Se 0.000 0.334 0.000 (multiplicity 4)

---

Below is a relaxed structure of AcTh2Se4, with properties calculated at the PBE level.

Calculated values
E_form (uncorrected) ... -162 kJ per mole of atoms

a b c (Å): 4.167 13.698 14.550
angles (deg): 90.00 90.00 90.00
Space group Cmcm (No. 63)
Asymmetric unit:
1 Ac 0.000 0.112 0.250 (multiplicity 4)
2 Th 0.000 0.359 0.060 (multiplicity 8)
3 Se 0.000 0.000 0.000 (multiplicity 4)
4 Se 0.000 0.276 0.630 (multiplicity 8)
5 Se 0.000 0.443 0.250 (multiplicity 4)

---

Below is a relaxed structure of AcThSe3, with properties calculated at the PBE level.

Calculated values
Polymorph energy (0 for the lowest one) ... 0.061 eV/atom
E_form (uncorrected) ... -174 kJ per mole of atoms

a b c (Å): 4.514 18.610 7.520
angles (deg): 90.00 90.00 90.00
Space group Cmc2_1 (No. 36)
Asymmetric unit:
1 Ac 0.000 0.183 0.000 (multiplicity 4)
2 Th 0.000 0.473 0.092 (multiplicity 4)
3 Se 0.000 0.024 0.863 (multiplicity 4)
4 Se 0.000 0.320 0.223 (multiplicity 4)
5 Se 0.000 0.377 0.745 (multiplicity 4)

---

Below is a relaxed structure of Ac5Th2Se12, with properties calculated at the PBE level.

Calculated values
E_form (uncorrected) ... -175 kJ per mole of atoms

a b c (Å): 17.004 8.234 9.956
angles (deg): 90.00 107.83 90.00
Space group C2/m (No. 12)
Asymmetric unit:
1 Ac 0.000 0.000 0.000 (multiplicity 2)
2 Ac 0.188 0.500 0.328 (multiplicity 4)
3 Ac 0.203 0.500 0.863 (multiplicity 4)
4 Th 0.000 0.250 0.500 (multiplicity 4)
5 Se 0.003 0.500 0.712 (multiplicity 4)
6 Se 0.007 0.000 0.306 (multiplicity 4)
7 Se 0.149 0.253 0.067 (multiplicity 8)
8 Se 0.177 0.273 0.591 (multiplicity 8)

---

Below is a relaxed structure of Ac5ThSe6, with properties calculated at the PBE level.

Calculated values
E_form (uncorrected) ... -173 kJ per mole of atoms

a b c (Å): 7.624 13.254 7.689
angles (deg): 90.00 109.56 90.00
Space group C2/m (No. 12)
Asymmetric unit:
1 Ac 0.000 0.000 0.000 (multiplicity 2)
2 Ac 0.000 0.166 0.500 (multiplicity 4)
3 Ac 0.000 0.329 0.000 (multiplicity 4)
4 Th 0.000 0.500 0.500 (multiplicity 2)
5 Se 0.240 0.500 0.252 (multiplicity 4)
6 Se 0.242 0.338 0.742 (multiplicity 8)

---

Below is a relaxed structure of Ac6ThSe8, with properties calculated at the PBE level.

Calculated values
E_form (uncorrected) ... -177 kJ per mole of atoms

a b c (Å): 12.549 12.549 12.549
angles (deg): 90.00 90.00 90.00
Space group Fm-3m (No. 225)
Asymmetric unit:
1 Ac 0.000 0.250 0.250 (multiplicity 24)
2 Th 0.000 0.000 0.000 (multiplicity 4)
3 Se 0.000 0.000 0.242 (multiplicity 24)
4 Se 0.250 0.250 0.250 (multiplicity 8)

---

Below is a relaxed structure of Ac2ThSe5, with properties calculated at the PBE level.

Calculated values
Polymorph energy (0 for the lowest one) ... 0.129 eV/atom
E_form (uncorrected) ... -179 kJ per mole of atoms

a b c (Å): 5.839 15.160 14.592
angles (deg): 90.00 90.00 90.00
Space group Cmcm (No. 63)
Asymmetric unit:
1 Ac 0.000 0.143 0.063 (multiplicity 8)
2 Th 0.000 0.189 0.750 (multiplicity 4)
3 Se 0.000 0.049 0.621 (multiplicity 8)
4 Se 0.000 0.260 0.250 (multiplicity 4)
5 Se 0.000 0.299 0.583 (multiplicity 8)

---

Below is a relaxed structure of AcTh2Se3, with properties calculated at the PBE level.

Calculated values
E_form (uncorrected) ... -156 kJ per mole of atoms

a b c (Å): 4.318 6.074 12.734
angles (deg): 90.00 90.00 90.00
Space group Immm (No. 71)
Asymmetric unit:
1 Ac 0.000 0.000 0.000 (multiplicity 2)
2 Th 0.000 0.000 0.338 (multiplicity 4)
3 Se 0.000 0.500 0.000 (multiplicity 2)
4 Se 0.000 0.500 0.324 (multiplicity 4)